Below is a relaxed ZrAlMo3 crystal, with properties calculated at the PBE level.

Values from the calculation:
**Energy relative to the elements**: 9.79 eV/f.u.
**Relative energy among the computed polymorphs**: 0.844 eV/atom
**M_tot**: 0.000 μB/cell

Cell: 4.7931 4.7931 4.7931 Å, 90.00 90.00 90.00°
With the nearest neighbours (Å) after each atom.
Positions (direct):
Mo 0.0000 0.5000 0.0000  2 Zr 2.40
Mo 0.0000 0.0000 0.5000  2 Zr 2.40
Mo 0.5000 0.0000 0.0000  2 Zr 2.40
Al 0.5000 0.5000 0.5000  12 Mo 3.39
Zr 0.0000 0.0000 0.0000  6 Mo 2.40